1.
# MnNiH | the Alexandria database | PBE | optimized geometry
data_MnNiH
_symmetry_space_group_name_H-M 'P 1'
_symmetry_Int_Tables_number 1
_cell_length_a 4.3085
_cell_length_b 5.6543
_cell_length_c 4.4463
_cell_angle_alpha 90.00
_cell_angle_beta 90.00
_cell_angle_gamma 90.00
loop_
_symmetry_equiv_pos_as_xyz
'x,y,z'
loop_
_atom_site_label
_atom_site_type_symbol
_atom_site_fract_x
_atom_site_fract_y
_atom_site_fract_z
_atom_site_occupancy
Ni1 Ni 0.5001 0.2500 0.0413 1
Ni2 Ni 0.9999 0.7500 0.5413 1
Ni3 Ni 0.4999 0.7500 0.9587 1
Ni4 Ni 0.0001 0.2500 0.4587 1
Mn1 Mn 0.0000 0.0000 0.0000 1
Mn2 Mn 0.5000 0.5000 0.5000 1
Mn3 Mn 0.5000 0.0000 0.5000 1
Mn4 Mn 0.0000 0.5000 0.0000 1
H1 H 0.7514 0.2500 0.7511 1
H2 H 0.7486 0.7500 0.2511 1
H3 H 0.2486 0.7500 0.2489 1
H4 H 0.2514 0.2500 0.7489 1
# - crystal system = orthorhombic
# - uncorrected energy (eV/f.u.) = -18.30

---

2.
# K2ThNpS4 | the Alexandria database | PBE | optimized geometry
data_K2ThNpS4
_symmetry_space_group_name_H-M 'P 1'
_symmetry_Int_Tables_number 1
_cell_length_a 4.1255
_cell_length_b 7.1250
_cell_length_c 7.8067
_cell_angle_alpha 107.82
_cell_angle_beta 90.00
_cell_angle_gamma 90.00
loop_
_symmetry_equiv_pos_as_xyz
'x,y,z'
loop_
_atom_site_label
_atom_site_type_symbol
_atom_site_fract_x
_atom_site_fract_y
_atom_site_fract_z
_atom_site_occupancy
K1 K 0.5000 0.0000 0.5000 1
K2 K 0.0000 0.5000 0.5000 1
Th1 Th 0.0000 0.0000 0.0000 1
Np1 Np 0.5000 0.5000 0.0000 1
S1 S 0.5000 0.2360 0.2099 1
S2 S 0.5000 0.7640 0.7901 1
S3 S 0.0000 0.2652 0.7955 1
S4 S 0.0000 0.7348 0.2045 1
# - crystal system = monoclinic
# - uncorrected formation energy (eV/atom) = -1.551

---

Total magnetic moment values, unit μB per formula unit, following the record order: 3.9, 4.9.
Calculated volume values, unit Å³/atom, following the record order: 9.027, 27.308.